Entry 1:
This record from the Alexandria database describes crystalline YU3Tl4O12 at its relaxed geometry. The functional is PBE.

Lattice parameters (Å, degrees): 7.540 7.540 7.540 109.47 109.47 109.47
Element x y z (fractional)
Y1 0.000 0.000 0.000
U1 0.000 0.500 0.500
U2 0.500 0.000 0.500
U3 0.500 0.500 0.000
Tl1 0.000 0.000 0.500
Tl2 0.000 0.500 0.000
Tl3 0.500 0.000 0.000
Tl4 0.500 0.500 0.500
O1 0.000 0.266 0.266
O2 0.000 0.734 0.734
O3 0.250 0.500 0.750
O4 0.250 0.750 0.500
O5 0.266 0.000 0.266
O6 0.266 0.266 0.000
O7 0.500 0.250 0.750
O8 0.500 0.750 0.250
O9 0.734 0.000 0.734
O10 0.734 0.734 0.000
O11 0.750 0.250 0.500
O12 0.750 0.500 0.250

Properties
energy relative to the elements, uncorrected	-2.52	eV per atom
E	-0.5867	Ry/atom
symmetry	Im-3m
volume	16.50	A^3/atom

Entry 2:
This record from the Alexandria database describes crystalline YU3Tl2O12 at its relaxed geometry. The functional is PBE.

Lattice parameters (Å, degrees): 7.953 7.953 7.953 61.58 61.58 61.58
Element x y z (fractional)
Y1 0.000 0.000 0.000
U1 0.000 0.000 0.500
U2 0.000 0.500 0.000
U3 0.500 0.000 0.000
Tl1 0.321 0.321 0.321
Tl2 0.679 0.679 0.679
O1 0.050 0.693 0.693
O2 0.066 0.066 0.667
O3 0.066 0.667 0.066
O4 0.307 0.307 0.950
O5 0.307 0.950 0.307
O6 0.333 0.934 0.934
O7 0.667 0.066 0.066
O8 0.693 0.050 0.693
O9 0.693 0.693 0.050
O10 0.934 0.333 0.934
O11 0.934 0.934 0.333
O12 0.950 0.307 0.307

Properties
energy relative to the elements, uncorrected	-2.66	eV per atom
E	-0.6225	Ry/atom
symmetry	R-3m
volume	20.46	A^3/atom

Entry 3:
This record from the Alexandria database describes crystalline U3Tl2ZnO12 at its relaxed geometry. The functional is PBE.

Lattice parameters (Å, degrees): 7.568 7.568 7.568 64.10 64.10 64.10
Element x y z (fractional)
U1 0.000 0.500 0.500
U2 0.500 0.000 0.500
U3 0.500 0.500 0.000
Tl1 0.160 0.160 0.160
Tl2 0.840 0.840 0.840
Zn1 0.500 0.500 0.500
O1 0.182 0.182 0.547
O2 0.182 0.547 0.182
O3 0.186 0.561 0.561
O4 0.439 0.439 0.814
O5 0.439 0.814 0.439
O6 0.453 0.818 0.818
O7 0.547 0.182 0.182
O8 0.561 0.186 0.561
O9 0.561 0.561 0.186
O10 0.814 0.439 0.439
O11 0.818 0.453 0.818
O12 0.818 0.818 0.453

Properties
energy relative to the elements, uncorrected	-2.25	eV per atom
E	-0.5711	Ry/atom
symmetry	R-3m
volume	18.57	A^3/atom

Entry 4:
This record from the Alexandria database describes crystalline UTl2ZnO6 at its relaxed geometry. The functional is PBE.

Lattice parameters (Å, degrees): 5.882 5.882 5.876 119.87 119.87 90.11
Element x y z (fractional)
U1 0.000 0.000 0.000
Tl1 0.251 0.749 0.500
Tl2 0.749 0.251 0.500
Zn1 0.500 0.500 0.000
O1 0.248 0.752 0.000
O2 0.249 0.249 0.000
O3 0.249 0.249 0.498
O4 0.751 0.751 0.000
O5 0.751 0.751 0.502
O6 0.752 0.248 0.000

Properties
energy relative to the elements, uncorrected	-1.61	eV per atom
E	-0.4645	Ry/atom
symmetry	C2/m
volume	14.42	A^3/atom